Entry from Alexandria via LeMat-Bulk: Sc12H5Pt3 after structural relaxation (PBE).

Properties
D(E_F) = 171.24 states/eV per cell
M_tot = 0.00 μB/atom
V = 17.4 Å³ per atom
Total energy = -6.103 eV/atom

Unit cell a=14.063 b=14.063 c=14.063 alpha=90.00 beta=90.00 gamma=90.00
Space group Ia-3d (No. 230)
Symmetry-distinct sites (fractional):
Sc: 0.038 0.058 0.654 x96
H: 0.000 0.000 0.000 x16
H: 0.000 0.250 0.375 x24
Pt: 0.000 0.250 0.125 x24



Entry from Alexandria via LeMat-Bulk: Ce4YGa5 after structural relaxation (PBE).

Properties
D(E_F) = 13.33 states/eV per cell
M_tot = 0.01 μB/atom
E_form = -49.2 kJ per mole of atoms
V = 23.0 Å³ per atom
Total energy = -5.043 eV/atom

Unit cell a=3.319 b=3.319 c=20.854 alpha=90.00 beta=90.00 gamma=90.00
Space group P4/mmm (No. 123)
Symmetry-distinct sites (fractional):
Ce: 0.000 0.000 0.101 x2
Ce: 0.000 0.000 0.304 x2
Y: 0.000 0.000 0.500 x1
Ga: 0.500 0.500 0.000 x1
Ga: 0.500 0.500 0.202 x2
Ga: 0.500 0.500 0.404 x2